Record 1
MoCl2O (PBE+U, optimized geometry); energy relative to the lowest polymorph listed for this composition = 0.082 eV per atom
1.0
6.271 0.000 0.000
0.000 5.393 0.000
0.000 0.000 9.632
Mo Cl O
4 8 4
direct
0.250 0.000 0.119
0.250 0.500 0.381
0.750 0.000 0.881
0.750 0.500 0.619
0.088 0.240 0.917
0.088 0.260 0.583
0.412 0.740 0.583
0.412 0.760 0.917
0.588 0.240 0.083
0.588 0.260 0.417
0.912 0.740 0.417
0.912 0.760 0.083
0.149 0.250 0.250
0.351 0.750 0.250
0.649 0.250 0.750
0.851 0.750 0.750

Record 2
MoClO2 (PBE+U, optimized geometry); energy relative to the lowest polymorph listed for this composition = 0.230 eV per atom
1.0
0.000 4.311 4.311
4.311 0.000 4.311
4.311 4.311 0.000
Mo Cl O
2 2 4
direct
0.125 0.125 0.125
0.875 0.875 0.875
0.375 0.375 0.375
0.625 0.625 0.625
0.000 0.000 0.000
0.000 0.000 0.500
0.000 0.500 0.000
0.500 0.000 0.000

Record 3
Mo2ClO2 (PBE+U, optimized geometry); energy relative to the lowest polymorph listed for this composition = 0.000 eV per atom
1.0
-2.135 2.135 5.211
2.135 -2.135 5.211
2.135 2.135 -5.211
Mo Cl O
2 1 2
direct
0.250 0.750 0.500
0.750 0.250 0.500
0.000 0.000 0.000
0.282 0.282 0.000
0.718 0.718 0.000

Record 4
MoClO2 (PBE+U, optimized geometry); energy relative to the lowest polymorph listed for this composition = 0.121 eV per atom
1.0
3.136 0.000 0.000
0.000 6.178 0.000
-1.555 0.000 6.580
Mo Cl O
2 2 4
direct
0.240 0.250 0.479
0.760 0.750 0.521
0.407 0.750 0.818
0.593 0.250 0.182
0.190 0.570 0.379
0.190 0.930 0.379
0.810 0.070 0.621
0.810 0.430 0.621

Record 5
MoCl4O (PBE+U, optimized geometry); DFT total energy = -4.086 eV per atom
1.0
6.669 0.000 0.000
-2.378 7.303 0.000
-0.687 -2.076 7.807
Mo Cl O
2 8 2
direct
0.070 0.219 0.270
0.930 0.781 0.730
0.155 0.680 0.888
0.175 0.087 0.846
0.322 0.076 0.306
0.345 0.484 0.260
0.655 0.516 0.740
0.678 0.924 0.694
0.825 0.913 0.154
0.845 0.320 0.112
0.013 0.275 0.470
0.987 0.725 0.530

Record 6
MoCl2O (PBE+U, optimized geometry); energy relative to the lowest polymorph listed for this composition = 0.305 eV per atom
1.0
-4.617 4.617 1.913
4.617 -4.617 1.913
4.617 4.617 -1.913
Mo Cl O
2 4 2
direct
0.000 0.000 0.000
0.750 0.250 0.500
0.375 0.222 0.347
0.778 0.125 0.153
0.875 0.028 0.653
0.972 0.625 0.847
0.250 0.750 0.500
0.500 0.500 0.000

Record 7
MoCl3O (PBE+U, optimized geometry); energy relative to the lowest polymorph listed for this composition = 0.000 eV per atom
1.0
6.326 0.000 0.000
0.000 14.472 0.000
-0.269 0.000 6.210
Mo Cl O
4 12 4
direct
0.036 0.167 0.300
0.036 0.333 0.800
0.964 0.667 0.200
0.964 0.833 0.700
0.150 0.693 0.560
0.150 0.807 0.060
0.266 0.190 0.609
0.266 0.310 0.109
0.286 0.073 0.149
0.286 0.427 0.649
0.714 0.573 0.351
0.714 0.927 0.851
0.734 0.690 0.891
0.734 0.810 0.391
0.850 0.193 0.940
0.850 0.307 0.440
0.145 0.591 0.117
0.145 0.909 0.617
0.855 0.091 0.383
0.855 0.409 0.883

Record 8
MoClO2 (PBE+U, optimized geometry); energy relative to the lowest polymorph listed for this composition = 0.000 eV per atom
1.0
5.327 0.000 0.000
0.000 5.944 0.000
0.000 0.000 9.884
Mo Cl O
4 4 8
direct
0.250 0.000 0.070
0.250 0.500 0.430
0.750 0.000 0.930
0.750 0.500 0.570
0.064 0.250 0.250
0.436 0.750 0.250
0.564 0.250 0.750
0.936 0.750 0.750
0.052 0.172 0.932
0.052 0.328 0.568
0.448 0.672 0.568
0.448 0.828 0.932
0.552 0.172 0.068
0.552 0.328 0.432
0.948 0.672 0.432
0.948 0.828 0.068

Record 9
MoClO2 (PBE+U, optimized geometry); energy relative to the lowest polymorph listed for this composition = 0.563 eV per atom
1.0
1.453 0.839 8.497
-1.453 0.839 8.497
0.000 -1.678 8.497
Mo Cl O
1 1 2
direct
0.000 0.000 0.000
0.500 0.500 0.500
0.380 0.380 0.380
0.620 0.620 0.620

Record 10
MoCl3O (PBE+U, optimized geometry); energy relative to the lowest polymorph listed for this composition = 1.587 eV per atom
1.0
4.569 0.000 0.000
0.000 4.569 0.000
0.000 0.000 4.569
Mo Cl O
1 3 1
direct
0.000 0.000 0.000
0.000 0.500 0.500
0.500 0.000 0.500
0.500 0.500 0.000
0.500 0.500 0.500

Record 11
Mo2Cl8O (PBE+U, optimized geometry); DFT total energy = -3.896 eV per atom
1.0
5.816 -4.261 0.000
5.816 4.261 0.000
-0.808 0.000 6.898
Mo Cl O
2 8 1
direct
0.070 0.070 0.258
0.930 0.930 0.742
0.129 0.129 0.623
0.210 0.668 0.717
0.260 0.260 0.204
0.332 0.790 0.283
0.668 0.210 0.717
0.740 0.740 0.796
0.790 0.332 0.283
0.871 0.871 0.377
0.000 0.000 0.000

Record 12
MoCl3O (PBE+U, optimized geometry); energy relative to the lowest polymorph listed for this composition = 1.564 eV per atom
1.0
4.754 0.000 0.000
0.000 4.754 0.000
0.000 0.000 4.754
Mo Cl O
1 3 1
direct
0.000 0.000 0.000
0.000 0.000 0.500
0.000 0.500 0.000
0.500 0.000 0.000
0.500 0.500 0.500

Record 13
MoClO3 (PBE+U, optimized geometry); DFT total energy = -5.426 eV per atom
1.0
3.920 0.000 0.000
0.000 3.920 0.000
0.000 0.000 3.920
Mo Cl O
1 1 3
direct
0.000 0.000 0.000
0.500 0.500 0.500
0.000 0.000 0.500
0.000 0.500 0.000
0.500 0.000 0.000

Record 14
MoClO2 (PBE+U, optimized geometry); energy relative to the lowest polymorph listed for this composition = 1.353 eV per atom
1.0
0.000 2.847 2.847
2.847 0.000 2.847
2.847 2.847 0.000
Mo Cl O
1 1 2
direct
0.000 0.000 0.000
0.500 0.500 0.500
0.250 0.250 0.250
0.750 0.750 0.750

Record 15
Mo2ClO2 (PBE+U, optimized geometry); energy relative to the lowest polymorph listed for this composition = 0.501 eV per atom
1.0
7.089 0.000 0.000
0.000 7.089 0.000
0.000 0.000 3.076
Mo Cl O
4 2 4
direct
0.215 0.285 0.000
0.285 0.785 0.000
0.715 0.215 0.000
0.785 0.715 0.000
0.000 0.000 0.500
0.500 0.500 0.500
0.137 0.637 0.500
0.363 0.137 0.500
0.637 0.863 0.500
0.863 0.363 0.500

Record 16
MoCl3O (PBE+U, optimized geometry); energy relative to the lowest polymorph listed for this composition = 0.027 eV per atom
1.0
6.634 -8.652 0.000
6.634 8.652 0.000
-2.569 0.000 5.816
Mo Cl O
4 12 4
direct
0.059 0.941 0.750
0.328 0.672 0.250
0.672 0.328 0.750
0.941 0.059 0.250
0.018 0.728 0.510
0.056 0.157 0.004
0.157 0.056 0.504
0.272 0.982 0.990
0.311 0.508 0.414
0.492 0.689 0.086
0.508 0.311 0.914
0.689 0.492 0.586
0.728 0.018 0.010
0.843 0.944 0.496
0.944 0.843 0.996
0.982 0.272 0.490
0.177 0.638 0.046
0.362 0.823 0.454
0.638 0.177 0.546
0.823 0.362 0.954

Record 17
MoCl2O (PBE+U, optimized geometry); energy relative to the lowest polymorph listed for this composition = 0.000 eV per atom
1.0
-1.843 1.932 6.611
1.843 -1.932 6.611
1.843 1.932 -6.611
Mo Cl O
1 2 1
direct
0.000 0.000 0.000
0.129 0.629 0.500
0.871 0.371 0.500
0.500 0.000 0.500

Record 18
MoCl2O (PBE+U, optimized geometry); energy relative to the lowest polymorph listed for this composition = 1.472 eV per atom
1.0
0.000 3.172 3.172
3.172 0.000 3.172
3.172 3.172 0.000
Mo Cl O
1 2 1
direct
0.000 0.000 0.000
0.250 0.250 0.250
0.750 0.750 0.750
0.500 0.500 0.500

Record 19
Mo2Cl4O (PBE+U, optimized geometry); DFT total energy = -4.653 eV per atom
1.0
5.374 -3.096 0.000
5.374 3.096 0.000
-3.628 0.000 5.636
Mo Cl O
2 4 1
direct
0.203 0.203 0.205
0.797 0.797 0.795
0.026 0.639 0.501
0.172 0.466 0.989
0.361 0.974 0.499
0.534 0.828 0.011
0.885 0.115 0.000

Record 20
MoClO2 (PBE+U, optimized geometry); energy relative to the lowest polymorph listed for this composition = 1.645 eV per atom
1.0
1.479 0.854 7.883
-1.479 0.854 7.883
0.000 -1.708 7.883
Mo Cl O
1 1 2
direct
0.000 0.000 0.000
0.500 0.500 0.500
0.076 0.076 0.076
0.924 0.924 0.924

Record 21
MoClO3 (PBE+U, optimized geometry); DFT total energy = -5.894 eV per atom
1.0
5.555 0.000 0.000
-2.690 6.194 0.000
-0.052 -2.438 6.308
Mo Cl O
2 2 6
direct
0.244 0.486 0.083
0.756 0.514 0.917
0.074 0.146 0.468
0.926 0.854 0.532
0.114 0.710 0.032
0.272 0.539 0.349
0.410 0.290 0.968
0.590 0.710 0.032
0.728 0.461 0.651
0.886 0.290 0.968

Record 22
MoClO3 (PBE+U, optimized geometry); DFT total energy = -5.950 eV per atom
1.0
3.839 0.000 0.000
0.007 7.277 0.000
1.112 3.455 7.582
Mo Cl O
2 2 6
direct
0.000 0.000 0.000
0.147 0.570 0.852
0.518 0.409 0.451
0.669 0.176 0.395
0.072 0.780 0.931
0.075 0.286 0.920
0.201 0.681 0.627
0.548 0.021 0.951
0.599 0.546 0.900
0.947 0.901 0.225

Record 23
MoP2ClO (PBE+U, optimized geometry); energy relative to the lowest polymorph listed for this composition = 0.000 eV per atom
1.0
4.832 0.000 0.000
0.000 4.832 0.000
0.000 0.000 3.849
Mo P Cl O
1 2 1 1
direct
0.000 0.000 0.000
0.000 0.500 0.000
0.500 0.000 0.000
0.500 0.500 0.500
0.000 0.000 0.500

Record 24
MoPCl2O (PBE+U, optimized geometry); energy relative to the lowest polymorph listed for this composition = 0.399 eV per atom
1.0
5.625 0.000 0.000
0.000 5.625 0.000
0.000 0.000 3.354
Mo P Cl O
1 1 2 1
direct
0.000 0.000 0.000
0.500 0.500 0.000
0.000 0.500 0.500
0.500 0.000 0.500
0.500 0.500 0.500

| no. | calculated volume (Å³/cell) |
| --- | --- |
| 1 | 326 |
| 2 | 160 |
| 3 | 95 |
| 4 | 127 |
| 5 | 380 |
| 6 | 163 |
| 7 | 569 |
| 8 | 313 |
| 9 | 62 |
| 10 | 95 |
| 11 | 342 |
| 12 | 107 |
| 13 | 60 |
| 14 | 46 |
| 15 | 155 |
| 16 | 668 |
| 17 | 94 |
| 18 | 64 |
| 19 | 188 |
| 20 | 60 |
| 21 | 217 |
| 22 | 212 |
| 23 | 90 |
| 24 | 106 |